Arrangement a

CuC2 | SCAN | PBEsol geometry

Summary:
SG   Fd-3m, No. 227
Size of the total moment   0.00 μB/f.u.

The structure in POSCAR format:
```
CuC2
1.0
4.112 0.000 0.000
2.056 3.561 0.000
2.056 1.187 3.357
C Cu
4 2
direct
0.125 0.125 0.125
0.625 0.125 0.125
0.125 0.625 0.125
0.125 0.125 0.625
0.750 0.750 0.750
0.500 0.500 0.500
```



Arrangement b

CuC2 | SCAN | PBEsol geometry

Summary:
SG   R-3m, No. 166
Size of the total moment   0.00 μB/f.u.

The structure in POSCAR format:
```
CuC2
1.0
-0.683 0.536 2.287
1.135 -1.053 1.894
4.374 4.627 1.530
Cu C
1 2
direct
0.000 0.000 0.000
0.167 0.167 0.500
0.833 0.833 0.500
```



It is arrangement b that is the most stable of them.



Arrangement a

CuTe2CI | SCAN | PBEsol geometry

Summary:
SG   P4/mmm, No. 123
Size of the total moment   0.00 μB/f.u.

The structure in POSCAR format:
```
CuTe2CI
1.0
-1.163 -4.223 1.902
-1.224 -1.611 -4.326
4.355 -1.503 -0.673
Te I Cu C
2 1 1 1
direct
0.500 0.000 0.000
0.000 0.500 0.000
0.000 0.000 0.500
0.500 0.500 0.500
0.000 0.000 0.000
```



Arrangement b

CuTe2CI | SCAN | PBEsol geometry

Summary:
SG   P4/mmm, No. 123
Size of the total moment   0.80 μB/f.u.

The structure in POSCAR format:
```
CuTe2CI
1.0
5.045 0.000 0.000
0.000 5.045 0.000
0.000 0.000 5.138
Te Cu C I
2 1 1 1
direct
0.500 0.000 0.000
0.000 0.500 0.000
0.000 0.000 0.000
0.500 0.500 0.500
0.000 0.000 0.500
```



It is arrangement a that is the most stable of them.



Arrangement a

Ti3CuC | SCAN | PBEsol geometry

Summary:
SG   Pm-3m, No. 221
Size of the total moment   0.00 μB/f.u.

The structure in POSCAR format:
```
Ti3CuC
1.0
-4.037 -0.538 0.426
0.436 -3.973 -0.891
0.531 -0.833 3.974
C Ti Cu
1 3 1
direct
0.000 0.000 0.000
0.000 0.000 0.500
0.000 0.500 0.000
0.500 0.000 0.000
0.500 0.500 0.500
```



Arrangement b

Ti3CuC | SCAN | PBEsol geometry

Summary:
SG   Pm-3m, No. 221
Size of the total moment   0.03 μB/f.u.

The structure in POSCAR format:
```
Ti3CuC
1.0
4.412 0.000 0.000
0.000 4.412 0.000
0.000 0.000 4.412
Ti Cu C
3 1 1
direct
0.000 0.500 0.000
0.500 0.000 0.000
0.000 0.000 0.500
0.000 0.000 0.000
0.500 0.500 0.500
```



It is arrangement a that is the most stable of them.